VASP calculation (PBE) on a relaxed Cd2HgSe crystal.

a b c (Å): 3.802 3.802 7.556
angles (deg): 90.00 90.00 110.62
Sites, in units of the cell vectors:
1 Cd 0.000 0.000 0.981
2 Cd 0.000 0.000 0.519
3 Hg 0.500 0.500 0.250
4 Se 0.500 0.500 0.750

DOS at the Fermi energy = 0.16 states/eV per atom
DFT total energy = -1.45 eV per atom

---

VASP calculation (PBE) on a relaxed Cd2HgSe crystal.

a b c (Å): 5.146 5.146 5.146
angles (deg): 60.00 60.00 60.00
Sites, in units of the cell vectors:
1 Hg 0.500 0.500 0.500
2 Se 0.000 0.000 0.000
3 Cd 0.250 0.250 0.250
4 Cd 0.750 0.750 0.750

DOS at the Fermi energy = 0.23 states/eV per atom
DFT total energy = -1.41 eV per atom

---

VASP calculation (PBE) on a relaxed Cd2HgSe crystal.

a b c (Å): 6.049 6.049 3.004
angles (deg): 73.05 73.05 87.42
Sites, in units of the cell vectors:
1 Cd 0.000 0.000 0.000
2 Cd 0.500 0.500 0.000
3 Hg 0.500 0.000 0.500
4 Se 0.000 0.500 0.500

DOS at the Fermi energy = 0.34 states/eV per atom
DFT total energy = -1.40 eV per atom

---

VASP calculation (PBE) on a relaxed Cd2HgSe2 crystal.

a b c (Å): 4.508 4.508 7.141
angles (deg): 71.60 71.60 90.00
Sites, in units of the cell vectors:
1 Hg 0.000 0.000 0.000
2 Se 0.750 0.250 0.500
3 Se 0.250 0.750 0.500
4 Cd 0.392 0.392 0.217
5 Cd 0.608 0.608 0.783

DOS at the Fermi energy = 0.38 states/eV per atom
DFT total energy = -1.86 eV per atom

---

VASP calculation (PBE) on a relaxed Cd2HgSe crystal.

a b c (Å): 4.116 4.116 6.023
angles (deg): 90.00 90.00 90.00
Sites, in units of the cell vectors:
1 Cd 0.000 0.000 0.875
2 Cd 0.500 0.500 0.376
3 Hg 0.000 0.000 0.375
4 Se 0.500 0.500 0.875

DOS at the Fermi energy = 0.60 states/eV per atom
DFT total energy = -1.52 eV per atom

---

VASP calculation (PBE) on a relaxed Cd2HgSe crystal.

a b c (Å): 5.737 3.015 6.311
angles (deg): 63.41 90.00 90.00
Sites, in units of the cell vectors:
1 Cd 0.000 0.751 0.875
2 Cd 0.500 0.249 0.375
3 Hg 0.000 0.750 0.375
4 Se 0.500 0.751 0.875

DOS at the Fermi energy = 0.48 states/eV per atom
DFT total energy = -1.43 eV per atom

---

The calculation returns the following offset from the most stable computed form values, one per record and in order: 0.52, 0.69, 0.72, 1.51, 0.25, 0.59 eV per formula unit.